Here is a geometry-optimized Fe2GePt5 structure from Alexandria via LeMat-Bulk. Energies are from PBE.

The structure belongs to space group Pbam (No. 55); the cell edges are 5.544, 10.699 and 4.029 Å and the angles 90.00°, 90.00° and 90.00°. Symmetry generates all atoms from Fe at (0.196, 0.142, 0.000), Ge at (0.000, 0.500, 0.500), Pt at (0.000, 0.000, 0.500), Pt at (0.041, 0.740, 0.500) and Pt at (0.209, 0.395, 0.000).

For the size of the total moment, the calculation gives 0.9552 μB/atom. As for the uncorrected energy: -6.691 eV/atom. The calculation puts the formation energy at -0.223 eV/atom.

=====

Here is a geometry-optimized FeGePt2 structure from Alexandria via LeMat-Bulk. Energies are from PBE.

The structure belongs to space group I-42d (No. 122); the cell edges are 4.849, 4.849 and 13.257 Å and the angles 90.00°, 90.00° and 90.00°. Symmetry generates all atoms from Fe at (0.000, 0.000, 0.000), Ge at (0.000, 0.000, 0.500) and Pt at (0.229, 0.250, 0.125).

For the size of the total moment, the calculation gives 0.0001 μB/atom. As for the uncorrected energy: -5.828 eV/atom. The calculation puts the formation energy at 0.462 eV/atom.

=====

Here is a geometry-optimized Fe2Ge2Pt structure from Alexandria via LeMat-Bulk. Energies are from PBE.

The structure belongs to space group P4/mbm (No. 127); the cell edges are 6.911, 6.911 and 2.878 Å and the angles 90.00°, 90.00° and 90.00°. Symmetry generates all atoms from Fe at (0.131, 0.369, 0.000), Ge at (0.161, 0.661, 0.500) and Pt at (0.000, 0.000, 0.500).

For the size of the total moment, the calculation gives 0.6854 μB/atom. As for the uncorrected energy: -6.488 eV/atom. The calculation puts the formation energy at -0.047 eV/atom. For the energy above the most stable polymorph in this dataset, the calculation gives 0 meV per atom.

=====

Here is a geometry-optimized FeGePt3 structure from Alexandria via LeMat-Bulk. Energies are from PBE.

The structure belongs to space group Pm-3m (No. 221); the cell edges are 4.624, 4.624 and 4.624 Å and the angles 90.00°, 90.00° and 90.00°. Symmetry generates all atoms from Fe at (0.000, 0.000, 0.000), Ge at (0.500, 0.500, 0.500) and Pt at (0.000, 0.000, 0.500).

For the size of the total moment, the calculation gives 0.7592 μB/atom. As for the uncorrected energy: -5.422 eV/atom. The calculation puts the formation energy at 0.819 eV/atom. For the energy above the most stable polymorph in this dataset, the calculation gives 103 meV per atom.

=====

Here is a geometry-optimized FeGe3Pt structure from Alexandria via LeMat-Bulk. Energies are from PBE.

The structure belongs to space group Pm-3m (No. 221); the cell edges are 4.427, 4.427 and 4.427 Å and the angles 90.00°, 90.00° and 90.00°. Symmetry generates all atoms from Fe at (0.000, 0.000, 0.000), Ge at (0.000, 0.000, 0.500) and Pt at (0.500, 0.500, 0.500).

For the size of the total moment, the calculation gives 0.0000 μB/atom. As for the uncorrected energy: -5.440 eV/atom. The calculation puts the formation energy at 0.231 eV/atom.

=====

Here is a geometry-optimized FeGePt3 structure from Alexandria via LeMat-Bulk. Energies are from PBE.

The structure belongs to space group Pm-3m (No. 221); the cell edges are 4.625, 4.625 and 4.625 Å and the angles 90.00°, 90.00° and 90.00°. Symmetry generates all atoms from Fe at (0.000, 0.000, 0.000), Ge at (0.500, 0.500, 0.500) and Pt at (0.000, 0.500, 0.500).

For the size of the total moment, the calculation gives 0.7128 μB/atom. As for the uncorrected energy: -5.525 eV/atom. The calculation puts the formation energy at 0.715 eV/atom. For the energy above the most stable polymorph in this dataset, the calculation gives 0 meV per atom.

=====

Here is a geometry-optimized Fe3GePt structure from Alexandria via LeMat-Bulk. Energies are from PBE.

The structure belongs to space group Pm-3m (No. 221); the cell edges are 4.355, 4.355 and 4.355 Å and the angles 90.00°, 90.00° and 90.00°. Symmetry generates all atoms from Fe at (0.000, 0.000, 0.500), Ge at (0.000, 0.000, 0.000) and Pt at (0.500, 0.500, 0.500).

For the size of the total moment, the calculation gives 1.6262 μB/atom. As for the uncorrected energy: -6.330 eV/atom. The calculation puts the formation energy at 0.880 eV/atom. For the energy above the most stable polymorph in this dataset, the calculation gives 0 meV per atom.

=====

Here is a geometry-optimized Fe3GePt structure from Alexandria via LeMat-Bulk. Energies are from PBE.

The structure belongs to space group Pm-3m (No. 221); the cell edges are 4.691, 4.691 and 4.691 Å and the angles 90.00°, 90.00° and 90.00°. Symmetry generates all atoms from Fe at (0.000, 0.000, 0.500), Ge at (0.500, 0.500, 0.500) and Pt at (0.000, 0.000, 0.000).

For the size of the total moment, the calculation gives 1.9717 μB/atom. As for the uncorrected energy: -6.146 eV/atom. The calculation puts the formation energy at 1.063 eV/atom. For the energy above the most stable polymorph in this dataset, the calculation gives 183 meV per atom.

=====

Here is a geometry-optimized FeGePt6 structure from Alexandria via LeMat-Bulk. Energies are from PBE.

The structure belongs to space group Fmmm (No. 69); the cell edges are 5.559, 7.608 and 11.569 Å and the angles 90.00°, 90.00° and 90.00°. Symmetry generates all atoms from Fe at (0.000, 0.000, 0.000), Ge at (0.000, 0.000, 0.500), Pt at (0.000, 0.000, 0.245) and Pt at (0.250, 0.250, 0.119).

For the size of the total moment, the calculation gives 0.4969 μB/atom. As for the uncorrected energy: -6.338 eV/atom. The calculation puts the formation energy at -0.172 eV/atom.

=====

Here is a geometry-optimized FeGePt structure from Alexandria via LeMat-Bulk. Energies are from PBE.

The structure belongs to space group I4mm (No. 107); the cell edges are 3.414, 3.414 and 7.692 Å and the angles 90.00°, 90.00° and 90.00°. Symmetry generates all atoms from Fe at (0.000, 0.000, 0.000), Ge at (0.000, 0.000, 0.675) and Pt at (0.000, 0.000, 0.341).

For the size of the total moment, the calculation gives 1.0119 μB/atom. As for the uncorrected energy: -6.439 eV/atom. The calculation puts the formation energy at -0.065 eV/atom.

=====

Here is a geometry-optimized Pu2FeGe6Pt structure from Alexandria via LeMat-Bulk. Energies are from PBE.

The structure belongs to space group P-3m1 (No. 164); the cell edges are 6.1006, 6.1006 and 5.7483 Å and the angles 90.00°, 90.00° and 120.00°. Symmetry generates all atoms from Pu at (0.3333, 0.6667, 0.2292), Fe at (0.0000, 0.0000, 0.5000), Ge at (0.1927, 0.3854, 0.7266) and Pt at (0.0000, 0.0000, 0.0000).

For the size of the total moment, the calculation gives 1.2452 μB/atom. As for the uncorrected energy: -7.409 eV/atom. The calculation puts the formation energy at -0.321 eV/atom.

=====

Here is a geometry-optimized Pu2FeGe4Pt3 structure from Alexandria via LeMat-Bulk. Energies are from PBE.

The structure belongs to space group P-4m2 (No. 115); the cell edges are 4.231, 4.231 and 10.427 Å and the angles 90.00°, 90.00° and 90.00°. Symmetry generates all atoms from Pu at (0.000, 0.500, 0.247), Fe at (0.500, 0.500, 0.000), Ge at (0.000, 0.000, 0.500), Ge at (0.000, 0.500, 0.872), Ge at (0.500, 0.500, 0.500), Pt at (0.000, 0.000, 0.000) and Pt at (0.000, 0.500, 0.634).

For the size of the total moment, the calculation gives 1.2789 μB/atom. As for the uncorrected energy: -7.958 eV/atom. The calculation puts the formation energy at -0.586 eV/atom.

=====

Which of these has the highest formation energy?
number 8

=====

Repeat the first record exactly.
Here is a geometry-optimized Fe2GePt5 structure from Alexandria via LeMat-Bulk. Energies are from PBE.

The structure belongs to space group Pbam (No. 55); the cell edges are 5.544, 10.699 and 4.029 Å and the angles 90.00°, 90.00° and 90.00°. Symmetry generates all atoms from Fe at (0.196, 0.142, 0.000), Ge at (0.000, 0.500, 0.500), Pt at (0.000, 0.000, 0.500), Pt at (0.041, 0.740, 0.500) and Pt at (0.209, 0.395, 0.000).

For the size of the total moment, the calculation gives 0.9552 μB/atom. As for the uncorrected energy: -6.691 eV/atom. The calculation puts the formation energy at -0.223 eV/atom.

=====

The highest uncorrected energy belongs to which entry?
number 4